# 1
DFT (GGA-PBE) results for an optimized crystal structure of CaTa2Cu.

ΔH_f (0 K) in eV/atom: 1.0159

a b c (Å): 4.849 4.849 3.148
angles (deg): 90.00 90.00 90.00
Fractional coordinates of all 4 atoms:
Cu1 0.000 0.500 0.500
Ta1 0.500 0.500 0.000
Ca1 0.500 0.000 0.500
Ta2 0.000 0.000 0.000


# 2
DFT (GGA-PBE) results for an optimized crystal structure of CaTa2Cu.

ΔH_f (0 K) in eV/atom: 0.3381

a b c (Å): 2.915 2.915 9.195
angles (deg): 90.00 90.00 99.85
Fractional coordinates of all 4 atoms:
Ta1 0.500 0.500 0.219
Ca1 0.000 0.000 0.526
Cu1 0.500 0.500 0.774
Ta2 0.000 0.000 0.981